Entry 1:
## LaMgGa (GGA-PBE)

Data for crystalline LaMgGa at its relaxed geometry.

Results
V, A^3/atom: 25.8
Size of the total moment, μB per cell: 0.00
Symmetry: No. 46
DFT formation energy, eV per atom: -0.325

Cell: 6.1425 6.1424 4.8877 Å, 113.46 66.54 96.86°
Last column: nearest neighbours and their distance in Å.
Atoms (fractional coordinates):
Mg: 0.9327 0.0343 0.4305  2 Ga 2.76-3.05, 2 Mg 2.91
Mg: 0.1269 0.2286 0.9305  2 Ga 2.76-3.05, 2 Mg 2.91
Ga: 0.5015 0.8194 0.5387  2 Mg 2.76-3.05, 2 Ga 2.77
Ga: 0.3419 0.6597 0.0386  2 Mg 2.76-3.05, 2 Ga 2.77
La: 0.5131 0.2190 0.2328  6 Mg 3.27-3.52, 6 Ga 3.33-3.58
La: 0.9423 0.6482 0.7328  6 Mg 3.27-3.52, 6 Ga 3.33-3.59



Entry 2:
## SrLu2Sc (GGA-PBE)

Data for crystalline SrLu2Sc at its relaxed geometry.

Results
Polymorph energy (0 for the lowest one), meV per atom: 142.5
V, A^3/atom: 32.4
Size of the total moment, μB per cell: 0.00
Symmetry: No. 166
DFT formation energy, eV per atom: 0.279

Cell: 3.4906 3.4906 12.4290 Å, 81.93 81.93 60.00°
Last column: nearest neighbours and their distance in Å.
Atoms (fractional coordinates):
Sc: 0.5000 0.5000 0.5000  6 Lu 3.30, 6 Sc 3.49
Sr: 0.0000 0.0000 0.0000  6 Sr 3.49, 2 Lu 3.51
Lu: 0.0955 0.0955 0.7134  3 Sc 3.30, 6 Lu 3.49, 1 Sr 3.51
Lu: 0.9045 0.9045 0.2866  3 Sc 3.30, 6 Lu 3.49, 1 Sr 3.51



Entry 3:
## La4Dy15Tm (GGA-PBE)

Data for crystalline La4Dy15Tm at its relaxed geometry.

Results
V, A^3/atom: 32.6
Size of the total moment, μB per cell: 0.00
Symmetry: No. 123
DFT formation energy, eV per atom: 0.029

Cell: 5.0774 5.0774 25.2519 Å, 90.00 90.00 90.00°
Last column: nearest neighbours and their distance in Å.
Atoms (fractional coordinates):
La: 0.0000 0.0000 0.1991  12 Dy 3.57-3.62
La: 0.0000 0.0000 0.3992  12 Dy 3.59
La: 0.0000 0.0000 0.6008  12 Dy 3.59
La: 0.0000 0.0000 0.8009  12 Dy 3.57-3.62
Dy: 0.5000 0.5000 0.0000  8 Dy 3.53, 4 Tm 3.59
Dy: 0.5000 0.5000 0.1977  4 La 3.59, 8 Dy 3.59-3.60
Dy: 0.5000 0.5000 0.3994  4 La 3.59, 8 Dy 3.59
Dy: 0.5000 0.5000 0.6006  4 La 3.59, 8 Dy 3.59
Dy: 0.5000 0.5000 0.8023  4 La 3.59, 8 Dy 3.59-3.60
Dy: 0.5000 0.0000 0.0970  8 Dy 3.53-3.59, 2 Tm 3.53, 2 La 3.62
Dy: 0.5000 0.0000 0.2986  4 La 3.57-3.59, 8 Dy 3.59-3.60
Dy: 0.5000 0.0000 0.5000  8 Dy 3.59, 4 La 3.59
Dy: 0.5000 0.0000 0.7014  4 La 3.57-3.59, 8 Dy 3.59-3.60
Dy: 0.5000 0.0000 0.9030  8 Dy 3.53-3.59, 2 Tm 3.53, 2 La 3.62
Dy: 0.0000 0.5000 0.0970  8 Dy 3.53-3.59, 2 Tm 3.53, 2 La 3.62
Dy: 0.0000 0.5000 0.2986  4 La 3.57-3.59, 8 Dy 3.59-3.60
Dy: 0.0000 0.5000 0.5000  8 Dy 3.59, 4 La 3.59
Dy: 0.0000 0.5000 0.7014  4 La 3.57-3.59, 8 Dy 3.59-3.60
Dy: 0.0000 0.5000 0.9030  8 Dy 3.53-3.59, 2 Tm 3.53, 2 La 3.62
Tm: 0.0000 0.0000 0.0000  12 Dy 3.53-3.59



Entry 4:
## Th2CoNiPd (GGA-PBE)

Data for crystalline Th2CoNiPd at its relaxed geometry.

Results
V, A^3/atom: 20.3
Size of the total moment, μB per cell: 0.00
Symmetry: No. 11
DFT formation energy, eV per atom: -0.489

Cell: 4.0172 7.4954 7.9342 Å, 121.95 90.00 90.00°
Last column: nearest neighbours and their distance in Å.
Atoms (fractional coordinates):
Th: 0.7500 0.7525 0.6542  1 Ni 2.68, 2 Co 2.76
Th: 0.7500 0.7518 0.0966  1 Ni 2.69, 2 Co 2.76
Th: 0.2500 0.2475 0.3458  1 Ni 2.68, 2 Co 2.76
Th: 0.2500 0.2482 0.9034  1 Ni 2.69, 2 Co 2.76
Co: 0.2500 0.8607 0.9297  1 Ni 2.37
Co: 0.7500 0.1393 0.0703  1 Ni 2.37
Ni: 0.2500 0.4881 0.7440  1 Co 2.37
Ni: 0.7500 0.5119 0.2560  1 Co 2.37
Pd: 0.2500 0.8208 0.4096  2 Ni 2.81, 4 Th 3.02, 2 Pd 3.04
Pd: 0.7500 0.1792 0.5904  2 Ni 2.81, 4 Th 3.02, 2 Pd 3.04



Entry 5:
## Ac4AsS7 (GGA-PBE)

Data for crystalline Ac4AsS7 at its relaxed geometry.

Results
V, A^3/atom: 27.8
ΔE_f (raw), eV per atom: -1.75
Size of the total moment, μB per cell: 0.00
Symmetry: No. 12

Cell: 4.9528 8.7609 8.4049 Å, 82.16 72.86 73.58°
Last column: nearest neighbours and their distance in Å.
Atoms (fractional coordinates):
Ac: 0.5860 0.2205 0.6076  5 S 2.94-3.06
Ac: 0.4140 0.7795 0.3924  5 S 2.94-3.06
Ac: 0.7335 0.6651 0.8679  5 S 2.86-3.18
Ac: 0.2665 0.3349 0.1321  5 S 2.86-3.18
As: 0.0000 0.0000 0.0000  4 S 2.48-2.55
S: 0.7868 0.8612 0.5652  4 Ac 2.86-3.06
S: 0.2132 0.1388 0.4348  4 Ac 2.86-3.06
S: 0.0804 0.7137 0.1254  1 As 2.55
S: 0.9196 0.2863 0.8746  1 As 2.55
S: 0.3645 0.5607 0.7104  4 Ac 2.94-3.06
S: 0.5000 0.0000 0.0000  2 As 2.48
S: 0.6355 0.4393 0.2896  4 Ac 2.94-3.06



Entry 6:
## NaSiH4 (GGA-PBE)

Data for crystalline NaSiH4 at its relaxed geometry.

Results
Polymorph energy (0 for the lowest one), meV per atom: 124.1
V, A^3/atom: 11.5
Size of the total moment, μB per cell: 0.00
Symmetry: No. 141

Cell: 4.5587 4.5587 7.3782 Å, 107.99 107.99 90.00°
Last column: nearest neighbours and their distance in Å.
Atoms (fractional coordinates):
Na: 0.0000 0.0000 0.0000  12 H 2.58-2.70
Na: 0.7500 0.2500 0.5000  12 H 2.58-2.70
Si: 0.5000 0.5000 0.0000  4 H 1.55
Si: 0.2500 0.7500 0.5000  4 H 1.55
H: 0.5734 0.3102 0.1467  1 Si 1.55
H: 0.5865 0.8234 0.6467  1 Si 1.55
H: 0.0602 0.8234 0.6467  1 Si 1.55
H: 0.5734 0.8365 0.1467  1 Si 1.55
H: 0.1766 0.4135 0.3533  1 Si 1.55
H: 0.6898 0.4266 0.8533  1 Si 1.55
H: 0.1635 0.4266 0.8533  1 Si 1.55
H: 0.1766 0.9398 0.3533  1 Si 1.55



Entry 7:
## CaHfNbIr2 (GGA-PBE)

Data for crystalline CaHfNbIr2 at its relaxed geometry.

Results
V, A^3/atom: 21.6
Size of the total moment, μB per cell: 0.00
Symmetry: No. 119
DFT formation energy, eV per atom: -0.626

Cell: 4.4795 4.4795 6.2418 Å, 111.03 111.03 90.00°
Last column: nearest neighbours and their distance in Å.
Atoms (fractional coordinates):
Ca: 0.0000 0.0000 0.0000  8 Ir 3.42, 4 Hf 3.50, 4 Nb 3.50
Hf: 0.7500 0.2500 0.5000  4 Ir 2.64
Nb: 0.2500 0.7500 0.5000  4 Ir 2.64
Ir: 0.6207 0.6207 0.2414  1 Ir 2.60, 2 Nb 2.64, 2 Hf 2.64
Ir: 0.3793 0.3793 0.7586  1 Ir 2.60, 2 Hf 2.64, 2 Nb 2.64



Entry 8:
## TcPt2W (GGA-PBE)

Data for crystalline TcPt2W at its relaxed geometry.

Results
Polymorph energy (0 for the lowest one), meV per atom: 183.9
V, A^3/atom: 15.6
Size of the total moment, μB per cell: 0.00
Symmetry: No. 99
DFT formation energy, eV per atom: -0.040

Cell: 3.3194 3.3194 5.6664 Å, 90.00 90.00 90.00°
Last column: nearest neighbours and their distance in Å.
Atoms (fractional coordinates):
Pt: 0.0000 0.0000 0.9992  4 Pt 2.74, 4 W 2.74, 2 Tc 2.80-2.86
Pt: 0.5000 0.5000 0.2474  4 Pt 2.74, 4 Tc 2.76, 2 W 2.82-2.84
Tc: 0.0000 0.0000 0.5043  4 W 2.73, 6 Pt 2.76-2.86
W: 0.5000 0.5000 0.7491  4 Tc 2.73, 6 Pt 2.74-2.84



Entry 9:
## MoAs2C (GGA-PBE)

Data for crystalline MoAs2C at its relaxed geometry.

Results
V, A^3/atom: 16.2
Size of the total moment, μB per cell: 0.55
Symmetry: No. 122
DFT formation energy, eV per atom: 0.842

Cell: 5.6049 5.6049 5.7254 Å, 60.69 60.69 90.00°
Last column: nearest neighbours and their distance in Å.
Atoms (fractional coordinates):
C: 0.5000 0.5000 0.0000  4 As 2.01
C: 0.2500 0.7500 0.5000  4 As 2.01
Mo: 0.0000 0.0000 0.0000  4 As 2.51
Mo: 0.7500 0.2500 0.5000  4 As 2.51
As: 0.5527 0.1250 0.2500  2 C 2.01
As: 0.1973 0.6250 0.2500  2 C 2.01
As: 0.3750 0.4473 0.7500  2 C 2.01
As: 0.8750 0.8027 0.7500  2 C 2.01



Entry 10:
## CdMoW2 (GGA-PBE)

Data for crystalline CdMoW2 at its relaxed geometry.

Results
V, A^3/atom: 17.0
Size of the total moment, μB per cell: 0.00
Symmetry: No. 6
DFT formation energy, eV per atom: 0.417

Cell: 4.5311 2.7361 5.5947 Å, 77.91 90.00 90.00°
Last column: nearest neighbours and their distance in Å.
Atoms (fractional coordinates):
Cd: 0.0000 0.4982 0.5026  2 Cd 2.74, 4 W 2.84-2.89, 2 Mo 2.87
Mo: 0.5000 0.7600 0.7647  4 W 2.70-3.00, 2 Mo 2.74, 2 Cd 2.87
W: 0.0000 0.9955 0.0008  4 W 2.74-2.77, 2 Mo 2.77, 2 Cd 2.84-2.85
W: 0.5000 0.2464 0.2319  2 Mo 2.70-3.00, 4 W 2.74-2.77, 2 Cd 2.89